#P
First-principles (PBE-GGA) data for a geometry-optimized TaAl3Ru structure, as listed in Alexandria.

Unit cell a=4.5608 b=4.5608 c=4.5608 alpha=90.00 beta=90.00 gamma=90.00
Positions (direct):
Ta (0.0000, 0.0000, 0.0000)
Al (0.0000, 0.5000, 0.5000)
Al (0.5000, 0.0000, 0.5000)
Al (0.5000, 0.5000, 0.0000)
Ru (0.5000, 0.5000, 0.5000)

M_tot = 1.88 Bohr magnetons per cell
Space-group type = Pm-3m

---

#Q
First-principles (PBE-GGA) data for a geometry-optimized TaAl3Ru structure, as listed in Alexandria.

Unit cell a=4.8808 b=4.8808 c=4.8808 alpha=90.00 beta=90.00 gamma=90.00
Positions (direct):
Ta (0.0000, 0.0000, 0.0000)
Al (0.0000, 0.0000, 0.5000)
Al (0.0000, 0.5000, 0.0000)
Al (0.5000, 0.0000, 0.0000)
Ru (0.5000, 0.5000, 0.5000)

M_tot = 1.59 Bohr magnetons per cell
Space-group type = Pm-3m

---

#P wins, 0.933 eV/atom ahead of the next structure.

---

#P
First-principles (PBE-GGA) data for a geometry-optimized Al2TcRu2 structure, as listed in Alexandria.

Unit cell a=7.0295 b=7.0295 c=2.9449 alpha=90.00 beta=90.00 gamma=90.00
Positions (direct):
Al (0.1620, 0.3380, 0.0000)
Al (0.3380, 0.8380, 0.0000)
Al (0.6620, 0.1620, 0.0000)
Al (0.8380, 0.6620, 0.0000)
Tc (0.0000, 0.0000, 0.5000)
Tc (0.5000, 0.5000, 0.5000)
Ru (0.1364, 0.6364, 0.5000)
Ru (0.3636, 0.1364, 0.5000)
Ru (0.6364, 0.8636, 0.5000)
Ru (0.8636, 0.3636, 0.5000)

M_tot = 0.00 Bohr magnetons per cell
Space-group type = P4/mbm

---

#Q
First-principles (PBE-GGA) data for a geometry-optimized Al2TcRu2 structure, as listed in Alexandria.

Unit cell a=4.1637 b=4.1637 c=9.4112 alpha=90.00 beta=90.00 gamma=90.00
Positions (direct):
Al (0.0000, 0.5000, 0.2500)
Al (0.0000, 0.5000, 0.7500)
Al (0.5000, 0.0000, 0.2500)
Al (0.5000, 0.0000, 0.7500)
Tc (0.0000, 0.0000, 0.0000)
Tc (0.5000, 0.5000, 0.5000)
Ru (0.0000, 0.0000, 0.3795)
Ru (0.0000, 0.0000, 0.6205)
Ru (0.5000, 0.5000, 0.1205)
Ru (0.5000, 0.5000, 0.8795)

M_tot = 2.77 Bohr magnetons per cell
Space-group type = I4/mmm

---

#P wins, 0.526 eV/atom ahead of the next structure.

---

#P
First-principles (PBE-GGA) data for a geometry-optimized Al2TcRu structure, as listed in Alexandria.

Unit cell a=3.0359 b=4.6309 c=8.1654 alpha=90.00 beta=90.00 gamma=90.00
Positions (direct):
Al (0.0000, 0.0000, 0.2455)
Al (0.0000, 0.0000, 0.7545)
Al (0.5000, 0.5000, 0.2455)
Al (0.5000, 0.5000, 0.7545)
Tc (0.0000, 0.5000, 0.5000)
Tc (0.5000, 0.0000, 0.5000)
Ru (0.0000, 0.5000, 0.0000)
Ru (0.5000, 0.0000, 0.0000)

M_tot = 0.00 Bohr magnetons per cell
Space-group type = Cmmm

---

#Q
First-principles (PBE-GGA) data for a geometry-optimized Al2TcRu structure, as listed in Alexandria.

Unit cell a=6.6608 b=6.6608 c=5.5711 alpha=90.00 beta=90.00 gamma=90.00
Positions (direct):
Al (0.2418, 0.2500, 0.1250)
Al (0.2500, 0.7418, 0.3750)
Al (0.2500, 0.7582, 0.8750)
Al (0.2582, 0.2500, 0.6250)
Al (0.7418, 0.7500, 0.6250)
Al (0.7500, 0.2418, 0.8750)
Al (0.7500, 0.2582, 0.3750)
Al (0.7582, 0.7500, 0.1250)
Tc (0.0000, 0.0000, 0.5000)
Tc (0.0000, 0.5000, 0.7500)
Tc (0.5000, 0.0000, 0.2500)
Tc (0.5000, 0.5000, 0.0000)
Ru (0.0000, 0.0000, 0.0000)
Ru (0.0000, 0.5000, 0.2500)
Ru (0.5000, 0.0000, 0.7500)
Ru (0.5000, 0.5000, 0.5000)

M_tot = 0.00 Bohr magnetons per cell
Space-group type = I-42d

---

#R
First-principles (PBE-GGA) data for a geometry-optimized Al2TcRu structure, as listed in Alexandria.

Unit cell a=3.0374 b=4.0561 c=4.6696 alpha=90.00 beta=90.00 gamma=90.00
Positions (direct):
Al (0.0000, 0.0000, 0.0000)
Al (0.5000, 0.0000, 0.5000)
Tc (0.0000, 0.5000, 0.5000)
Ru (0.5000, 0.5000, 0.0000)

M_tot = 0.00 Bohr magnetons per cell
Space-group type = Pmmm

---

#S
First-principles (PBE-GGA) data for a geometry-optimized Al2TcRu structure, as listed in Alexandria.

Unit cell a=2.8364 b=2.8364 c=7.4444 alpha=90.00 beta=90.00 gamma=90.00
Positions (direct):
Al (0.0000, 0.0000, 0.0000)
Al (0.5000, 0.5000, 0.3020)
Tc (0.5000, 0.5000, 0.7592)
Ru (0.0000, 0.0000, 0.5311)

M_tot = 0.00 Bohr magnetons per cell
Space-group type = P4mm

---

#P wins, 0.020 eV/atom ahead of the next structure.

---

#P
First-principles (PBE-GGA) data for a geometry-optimized Al2TcRu structure, as listed in Alexandria.

Unit cell a=3.0178 b=4.6793 c=8.1576 alpha=90.00 beta=90.00 gamma=90.00
Positions (direct):
Al (0.0000, 0.0000, 0.2479)
Al (0.0000, 0.0000, 0.7521)
Al (0.5000, 0.5000, 0.2521)
Al (0.5000, 0.5000, 0.7479)
Tc (0.0000, 0.5000, 0.0000)
Tc (0.5000, 0.0000, 0.5000)
Ru (0.0000, 0.5000, 0.5000)
Ru (0.5000, 0.0000, 0.0000)

M_tot = 0.00 Bohr magnetons per cell
Space-group type = Immm

---

#Q
First-principles (PBE-GGA) data for a geometry-optimized Al2TcRu structure, as listed in Alexandria.

Unit cell a=6.0561 b=6.0561 c=6.0561 alpha=90.00 beta=90.00 gamma=90.00
Positions (direct):
Al (0.2500, 0.2500, 0.2500)
Al (0.2500, 0.2500, 0.7500)
Al (0.2500, 0.7500, 0.2500)
Al (0.2500, 0.7500, 0.7500)
Al (0.7500, 0.2500, 0.2500)
Al (0.7500, 0.2500, 0.7500)
Al (0.7500, 0.7500, 0.2500)
Al (0.7500, 0.7500, 0.7500)
Tc (0.0000, 0.0000, 0.0000)
Tc (0.0000, 0.5000, 0.5000)
Tc (0.5000, 0.0000, 0.5000)
Tc (0.5000, 0.5000, 0.0000)
Ru (0.0000, 0.0000, 0.5000)
Ru (0.0000, 0.5000, 0.0000)
Ru (0.5000, 0.0000, 0.0000)
Ru (0.5000, 0.5000, 0.5000)

M_tot = 0.00 Bohr magnetons per cell
Space-group type = Fm-3m

---

#Q wins, 0.203 eV/atom ahead of the next structure.

---

#P
First-principles (PBE-GGA) data for a geometry-optimized Al2TcRu structure, as listed in Alexandria.

Unit cell a=2.7862 b=4.0551 c=5.1168 alpha=90.00 beta=96.10 gamma=90.00
Positions (direct):
Al (0.2334, 0.0000, 0.2525)
Al (0.7666, 0.0000, 0.7475)
Tc (0.5000, 0.5000, 0.0000)
Ru (0.0000, 0.5000, 0.5000)

M_tot = 0.00 Bohr magnetons per cell
Space-group type = P2/m

---

#Q
First-principles (PBE-GGA) data for a geometry-optimized Al2TcRu structure, as listed in Alexandria.

Unit cell a=3.6259 b=3.6259 c=8.6867 alpha=90.00 beta=90.00 gamma=90.00
Positions (direct):
Al (0.0000, 0.0000, 0.0000)
Al (0.0000, 0.5000, 0.2500)
Al (0.5000, 0.0000, 0.7500)
Al (0.5000, 0.5000, 0.5000)
Tc (0.0000, 0.0000, 0.5000)
Tc (0.5000, 0.5000, 0.0000)
Ru (0.0000, 0.5000, 0.7500)
Ru (0.5000, 0.0000, 0.2500)

M_tot = 0.00 Bohr magnetons per cell
Space-group type = I-4m2

---

#R
First-principles (PBE-GGA) data for a geometry-optimized Al2TcRu structure, as listed in Alexandria.

Unit cell a=2.8292 b=2.8292 c=25.7569 alpha=90.00 beta=90.00 gamma=120.00
Positions (direct):
Al (0.0000, 0.0000, 0.0000)
Al (0.0000, 0.0000, 0.2427)
Al (0.3333, 0.6667, 0.6667)
Al (0.3333, 0.6667, 0.9094)
Al (0.6667, 0.3333, 0.3333)
Al (0.6667, 0.3333, 0.5760)
Tc (0.0000, 0.0000, 0.7498)
Tc (0.3333, 0.6667, 0.4165)
Tc (0.6667, 0.3333, 0.0832)
Ru (0.0000, 0.0000, 0.4958)
Ru (0.3333, 0.6667, 0.1625)
Ru (0.6667, 0.3333, 0.8292)

M_tot = 0.00 Bohr magnetons per cell
Space-group type = R3m

---

#S
First-principles (PBE-GGA) data for a geometry-optimized Al2TcRu structure, as listed in Alexandria.

Unit cell a=6.1173 b=6.1173 c=6.1173 alpha=90.00 beta=90.00 gamma=90.00
Positions (direct):
Al (0.0000, 0.0000, 0.0000)
Al (0.0000, 0.5000, 0.5000)
Al (0.2500, 0.2500, 0.2500)
Al (0.2500, 0.7500, 0.7500)
Al (0.5000, 0.0000, 0.5000)
Al (0.5000, 0.5000, 0.0000)
Al (0.7500, 0.2500, 0.7500)
Al (0.7500, 0.7500, 0.2500)
Tc (0.0000, 0.0000, 0.5000)
Tc (0.0000, 0.5000, 0.0000)
Tc (0.5000, 0.0000, 0.0000)
Tc (0.5000, 0.5000, 0.5000)
Ru (0.2500, 0.2500, 0.7500)
Ru (0.2500, 0.7500, 0.2500)
Ru (0.7500, 0.2500, 0.2500)
Ru (0.7500, 0.7500, 0.7500)

M_tot = 0.00 Bohr magnetons per cell
Space-group type = F-43m

---

#P wins, 0.021 eV/atom ahead of the next structure.

---

#P
First-principles (PBE-GGA) data for a geometry-optimized Al2TcRu structure, as listed in Alexandria.

Unit cell a=4.3220 b=4.3220 c=2.9731 alpha=90.00 beta=90.00 gamma=90.00
Positions (direct):
Al (0.0000, 0.5000, 0.0000)
Al (0.5000, 0.0000, 0.0000)
Tc (0.0000, 0.0000, 0.5000)
Ru (0.5000, 0.5000, 0.5000)

M_tot = 0.00 Bohr magnetons per cell
Space-group type = P4/mmm

---

#Q
First-principles (PBE-GGA) data for a geometry-optimized Al2TcRu structure, as listed in Alexandria.

Unit cell a=4.1953 b=2.9332 c=9.2919 alpha=90.00 beta=90.00 gamma=90.00
Positions (direct):
Al (0.0000, 0.0000, 0.0000)
Al (0.0000, 0.5000, 0.5000)
Al (0.5000, 0.0000, 0.1801)
Al (0.5000, 0.5000, 0.6801)
Tc (0.5000, 0.0000, 0.4472)
Tc (0.5000, 0.5000, 0.9472)
Ru (0.0000, 0.0000, 0.7304)
Ru (0.0000, 0.5000, 0.2304)

M_tot = 0.81 Bohr magnetons per cell
Space-group type = Amm2

---

#P wins, 0.130 eV/atom ahead of the next structure.

---

#P
First-principles (PBE-GGA) data for a geometry-optimized Al2TcRu structure, as listed in Alexandria.

Unit cell a=3.1066 b=3.1066 c=5.8685 alpha=90.00 beta=90.00 gamma=90.00
Positions (direct):
Al (0.0000, 0.0000, 0.0000)
Al (0.5000, 0.5000, 0.2661)
Tc (0.5000, 0.5000, 0.7743)
Ru (0.0000, 0.0000, 0.4865)

M_tot = 0.00 Bohr magnetons per cell
Space-group type = P4mm

---

#Q
First-principles (PBE-GGA) data for a geometry-optimized Al2TcRu structure, as listed in Alexandria.

Unit cell a=9.5000 b=2.9693 c=4.2756 alpha=90.00 beta=109.35 gamma=90.00
Positions (direct):
Al (0.0000, 0.0000, 0.0000)
Al (0.2274, 0.0000, 0.6767)
Al (0.5000, 0.5000, 0.0000)
Al (0.7274, 0.5000, 0.6767)
Tc (0.4793, 0.0000, 0.4871)
Tc (0.9793, 0.5000, 0.4871)
Ru (0.2419, 0.5000, 0.1837)
Ru (0.7419, 0.0000, 0.1837)

M_tot = 0.00 Bohr magnetons per cell
Space-group type = Cm

---

#Q wins, 0.052 eV/atom ahead of the next structure.

---

#P
First-principles (PBE-GGA) data for a geometry-optimized AlTcRu3 structure, as listed in Alexandria.

Unit cell a=4.6105 b=4.6105 c=4.6105 alpha=90.00 beta=90.00 gamma=90.00
Positions (direct):
Al (0.0000, 0.0000, 0.0000)
Tc (0.5000, 0.5000, 0.5000)
Ru (0.0000, 0.5000, 0.5000)
Ru (0.5000, 0.0000, 0.5000)
Ru (0.5000, 0.5000, 0.0000)

M_tot = 0.00 Bohr magnetons per cell
Space-group type = Pm-3m

---

#Q
First-principles (PBE-GGA) data for a geometry-optimized AlTcRu3 structure, as listed in Alexandria.

Unit cell a=4.3259 b=4.3259 c=4.3259 alpha=90.00 beta=90.00 gamma=90.00
Positions (direct):
Al (0.0000, 0.0000, 0.0000)
Tc (0.5000, 0.5000, 0.5000)
Ru (0.0000, 0.0000, 0.5000)
Ru (0.0000, 0.5000, 0.0000)
Ru (0.5000, 0.0000, 0.0000)

M_tot = 0.00 Bohr magnetons per cell
Space-group type = Pm-3m

---

#Q wins, 0.189 eV/atom ahead of the next structure.

---

#P
First-principles (PBE-GGA) data for a geometry-optimized AlVTcRu structure, as listed in Alexandria.

Unit cell a=3.0149 b=3.0149 c=6.0787 alpha=90.00 beta=90.00 gamma=90.00
Positions (direct):
Al (0.0000, 0.0000, 0.0000)
V (0.0000, 0.0000, 0.4983)
Tc (0.5000, 0.5000, 0.7390)
Ru (0.5000, 0.5000, 0.2509)

M_tot = 0.00 Bohr magnetons per cell
Space-group type = P4mm

---

#Q
First-principles (PBE-GGA) data for a geometry-optimized AlVTcRu structure, as listed in Alexandria.

Unit cell a=6.0411 b=6.0411 c=6.0411 alpha=90.00 beta=90.00 gamma=90.00
Positions (direct):
Al (0.0000, 0.0000, 0.0000)
Al (0.0000, 0.5000, 0.5000)
Al (0.5000, 0.0000, 0.5000)
Al (0.5000, 0.5000, 0.0000)
V (0.0000, 0.0000, 0.5000)
V (0.0000, 0.5000, 0.0000)
V (0.5000, 0.0000, 0.0000)
V (0.5000, 0.5000, 0.5000)
Tc (0.2500, 0.2500, 0.7500)
Tc (0.2500, 0.7500, 0.2500)
Tc (0.7500, 0.2500, 0.2500)
Tc (0.7500, 0.7500, 0.7500)
Ru (0.2500, 0.2500, 0.2500)
Ru (0.2500, 0.7500, 0.7500)
Ru (0.7500, 0.2500, 0.7500)
Ru (0.7500, 0.7500, 0.2500)

M_tot = 0.00 Bohr magnetons per cell
Space-group type = F-43m

---

#Q wins, 0.015 eV/atom ahead of the next structure.

---

#P
First-principles (PBE-GGA) data for a geometry-optimized AlTeRu structure, as listed in Alexandria.

Unit cell a=4.5240 b=4.5240 c=3.0908 alpha=90.00 beta=90.00 gamma=120.00
Positions (direct):
Al (0.0000, 0.0000, 0.0000)
Te (0.6667, 0.3333, 0.4993)
Ru (0.3333, 0.6667, 0.4977)

M_tot = 0.00 Bohr magnetons per cell
Space-group type = P3m1

---

#Q
First-principles (PBE-GGA) data for a geometry-optimized AlTeRu structure, as listed in Alexandria.

Unit cell a=3.4359 b=3.4359 c=9.2244 alpha=90.00 beta=90.00 gamma=90.00
Positions (direct):
Al (0.0000, 0.0000, 0.0000)
Al (0.5000, 0.5000, 0.5000)
Te (0.0000, 0.0000, 0.6901)
Te (0.5000, 0.5000, 0.1901)
Ru (0.0000, 0.0000, 0.3904)
Ru (0.5000, 0.5000, 0.8904)

M_tot = 0.00 Bohr magnetons per cell
Space-group type = I4mm

---

#R
First-principles (PBE-GGA) data for a geometry-optimized AlTeRu structure, as listed in Alexandria.

Unit cell a=3.0873 b=3.0873 c=11.9777 alpha=90.00 beta=90.00 gamma=90.00
Positions (direct):
Al (0.0000, 0.0000, 0.0000)
Al (0.5000, 0.5000, 0.5000)
Te (0.0000, 0.0000, 0.7321)
Te (0.5000, 0.5000, 0.2321)
Ru (0.0000, 0.0000, 0.3831)
Ru (0.5000, 0.5000, 0.8831)

M_tot = 0.00 Bohr magnetons per cell
Space-group type = I4mm

---

#R wins, 0.096 eV/atom ahead of the next structure.

---

#P
First-principles (PBE-GGA) data for a geometry-optimized AlTeRu2 structure, as listed in Alexandria.

Unit cell a=3.1019 b=4.7412 c=4.4102 alpha=90.00 beta=90.00 gamma=90.00
Positions (direct):
Al (0.0000, 0.0000, 0.0000)
Te (0.5000, 0.5000, 0.2436)
Ru (0.0000, 0.5000, 0.7421)
Ru (0.5000, 0.0000, 0.5215)

M_tot = 0.00 Bohr magnetons per cell
Space-group type = Pmm2

---

#Q
First-principles (PBE-GGA) data for a geometry-optimized AlTeRu2 structure, as listed in Alexandria.

Unit cell a=5.6130 b=5.6130 c=11.6587 alpha=90.00 beta=90.00 gamma=90.00
Positions (direct):
Al (0.0000, 0.0000, 0.0000)
Al (0.0000, 0.5000, 0.2500)
Al (0.5000, 0.0000, 0.7500)
Al (0.5000, 0.5000, 0.5000)
Te (0.0000, 0.0000, 0.5000)
Te (0.0000, 0.5000, 0.7500)
Te (0.5000, 0.0000, 0.2500)
Te (0.5000, 0.5000, 0.0000)
Ru (0.2312, 0.2500, 0.1250)
Ru (0.2500, 0.7312, 0.3750)
Ru (0.2500, 0.7688, 0.8750)
Ru (0.2688, 0.2500, 0.6250)
Ru (0.7312, 0.7500, 0.6250)
Ru (0.7500, 0.2312, 0.8750)
Ru (0.7500, 0.2688, 0.3750)
Ru (0.7688, 0.7500, 0.1250)

M_tot = 0.00 Bohr magnetons per cell
Space-group type = I-42d

---

#P wins, 0.595 eV/atom ahead of the next structure.

---

#P
First-principles (PBE-GGA) data for a geometry-optimized AlTeRu2 structure, as listed in Alexandria.

Unit cell a=3.7612 b=3.7612 c=9.0672 alpha=90.00 beta=90.00 gamma=90.00
Positions (direct):
Al (0.0000, 0.0000, 0.0000)
Al (0.5000, 0.5000, 0.5000)
Te (0.0000, 0.5000, 0.2500)
Te (0.5000, 0.0000, 0.7500)
Ru (0.0000, 0.0000, 0.5000)
Ru (0.0000, 0.5000, 0.7500)
Ru (0.5000, 0.0000, 0.2500)
Ru (0.5000, 0.5000, 0.0000)

M_tot = 0.00 Bohr magnetons per cell
Space-group type = I-4m2

---

#Q
First-principles (PBE-GGA) data for a geometry-optimized AlTeRu2 structure, as listed in Alexandria.

Unit cell a=9.2619 b=3.1401 c=4.5143 alpha=90.00 beta=104.04 gamma=90.00
Positions (direct):
Al (0.0000, 0.0000, 0.0000)
Al (0.5000, 0.5000, 0.0000)
Te (0.2586, 0.5000, 0.3844)
Te (0.7586, 0.0000, 0.3844)
Ru (0.2677, 0.0000, 0.9128)
Ru (0.4972, 0.0000, 0.5141)
Ru (0.7677, 0.5000, 0.9128)
Ru (0.9972, 0.5000, 0.5141)

M_tot = 0.00 Bohr magnetons per cell
Space-group type = Cm

---

#Q wins, 0.257 eV/atom ahead of the next structure.